A plane-wave DFT calculation with GGA-PBE was carried out for a relaxed structure of Nd6Er12In.

POSCAR file:
```
Nd6Er12In
1.0
8.408 0.666 0.798
-0.616 8.412 0.798
-0.616 -0.718 8.419
Nd Er In
6 12 1
direct
0.740 0.908 0.306
0.694 0.260 0.092
0.092 0.694 0.260
0.260 0.092 0.694
0.306 0.740 0.908
0.908 0.306 0.740
0.776 0.539 0.437
0.437 0.776 0.539
0.539 0.437 0.776
0.224 0.461 0.563
0.563 0.224 0.461
0.461 0.563 0.224
0.013 0.190 0.358
0.810 0.642 0.987
0.642 0.987 0.810
0.987 0.810 0.642
0.190 0.358 0.013
0.358 0.013 0.190
0.000 0.000 0.000
```

## Properties
The density of states at the Fermi level is 23.071 states/eV/cell. Its space-group type is R-3, No. 148. For the formation enthalpy at 0 K, the calculation gives 0.069 eV/atom. As for the total DFT energy (no corrections): -4.462 eV/atom.